# 1
First-principles (PBE) data for a geometry-optimized PmCd6Au3 structure, as listed in the Alexandria database.

energy of formation from the pure elements: -0.30 eV/atom
volume: 22.3 A^3/atom
calculated density: 10.5 Mg/m³

a = 9.1391 Å, b = 4.7027 Å, c = 10.6090 Å
α = 90.00°, β = 101.54°, γ = 90.00°
Last column: nearest neighbours and their distance in Å.
Fractional positions:
Pm1 0.0650 0.2500 0.2688  5 Au 3.16-3.35, 7 Cd 3.34-3.53
Pm2 0.9350 0.7500 0.7312  5 Au 3.16-3.35, 7 Cd 3.34-3.53
Cd1 0.1267 0.2500 0.6090  4 Au 2.80-2.89, 1 Cd 3.08
Cd2 0.1482 0.7500 0.0380  5 Au 2.89-3.07, 1 Cd 3.00
Cd3 0.3082 0.7500 0.7698  4 Au 2.97-3.16, 4 Cd 3.02-3.17
Cd4 0.3580 0.7500 0.2942  3 Au 2.79-2.83, 5 Cd 2.93-3.00
Cd5 0.3946 0.2500 0.4730  6 Cd 3.00-3.08, 2 Au 3.01, 1 Pm 3.34
Cd6 0.4705 0.2500 0.9113  4 Au 2.90-3.00, 5 Cd 2.93-3.02
Cd7 0.5295 0.7500 0.0887  4 Au 2.90-3.00, 5 Cd 2.93-3.02
Cd8 0.6054 0.7500 0.5270  6 Cd 3.00-3.08, 2 Au 3.01, 1 Pm 3.34
Cd9 0.6420 0.2500 0.7058  3 Au 2.79-2.83, 5 Cd 2.93-3.00
Cd10 0.6918 0.2500 0.2302  4 Au 2.97-3.16, 4 Cd 3.02-3.17
Cd11 0.8518 0.2500 0.9620  5 Au 2.89-3.07, 1 Cd 3.00
Cd12 0.8733 0.7500 0.3910  4 Au 2.80-2.89, 1 Cd 3.08
Au1 0.1369 0.2500 0.8771  7 Cd 2.83-3.16, 1 Au 3.12
Au2 0.1922 0.7500 0.4877  7 Cd 2.79-3.01
Au3 0.3519 0.2500 0.1450  8 Cd 2.83-3.07, 1 Au 3.12, 1 Pm 3.16
Au4 0.6481 0.7500 0.8550  8 Cd 2.83-3.07, 1 Au 3.12, 1 Pm 3.16
Au5 0.8078 0.2500 0.5123  7 Cd 2.79-3.01
Au6 0.8631 0.7500 0.1229  7 Cd 2.83-3.16, 1 Au 3.12


# 2
First-principles (PBE) data for a geometry-optimized Pm5Cd2Au2 structure, as listed in the Alexandria database.

energy of formation from the pure elements: -0.43 eV/atom
volume: 28.9 A^3/atom
calculated density: 8.6 Mg/m³

a = 8.9326 Å, b = 8.9326 Å, c = 8.6726 Å
α = 90.00°, β = 90.00°, γ = 48.73°
Last column: nearest neighbours and their distance in Å.
Fractional positions:
Pm1 0.0000 0.0000 0.0000  4 Au 2.99-3.34
Pm2 0.0385 0.7007 0.6803  2 Au 3.06-3.09, 3 Cd 3.19-3.32
Pm3 0.2007 0.5385 0.1803  2 Au 3.06-3.09, 3 Cd 3.19-3.32
Pm4 0.2993 0.9615 0.6803  2 Au 3.06-3.09, 3 Cd 3.19-3.32
Pm5 0.4615 0.7993 0.1803  2 Au 3.06-3.09, 3 Cd 3.19-3.32
Pm6 0.5000 0.5000 0.5000  4 Au 2.99-3.34
Pm7 0.5385 0.2007 0.8197  2 Au 3.06-3.09, 3 Cd 3.19-3.32
Pm8 0.7007 0.0385 0.3197  2 Au 3.06-3.09, 3 Cd 3.19-3.32
Pm9 0.7993 0.4615 0.8197  2 Au 3.06-3.09, 3 Cd 3.19-3.32
Pm10 0.9615 0.2993 0.3197  2 Au 3.06-3.09, 3 Cd 3.19-3.32
Cd1 0.2127 0.2127 0.0000  7 Pm 3.19-3.46
Cd2 0.2873 0.2873 0.5000  7 Pm 3.19-3.46
Cd3 0.7127 0.7127 0.5000  7 Pm 3.19-3.46
Cd4 0.7873 0.7873 0.0000  7 Pm 3.19-3.46
Au1 0.1238 0.8762 0.3709  1 Au 2.89, 5 Pm 2.99-3.09
Au2 0.3762 0.6238 0.8709  1 Au 2.89, 5 Pm 2.99-3.09
Au3 0.6238 0.3762 0.1291  1 Au 2.89, 5 Pm 2.99-3.09
Au4 0.8762 0.1238 0.6291  1 Au 2.89, 5 Pm 2.99-3.09


# 3
First-principles (PBE) data for a geometry-optimized Pm4Cd3Au4 structure, as listed in the Alexandria database.

energy of formation from the pure elements: -0.39 eV/atom
volume: 26.8 A^3/atom
calculated density: 9.6 Mg/m³

a = 9.2867 Å, b = 9.2867 Å, c = 9.2867 Å
α = 155.40°, β = 116.97°, γ = 68.73°
Last column: nearest neighbours and their distance in Å.
Fractional positions:
Pm1 0.0354 0.8469 0.1885  3 Au 2.87-3.03
Pm2 0.3416 0.1531 0.1885  3 Au 2.87-3.03
Pm3 0.6584 0.8469 0.8115  3 Au 2.87-3.03
Pm4 0.9646 0.1531 0.8115  3 Au 2.87-3.03
Cd1 0.0000 0.5000 0.5000  8 Pm 3.57, 2 Au 3.74, 2 Cd 3.96
Cd2 0.3821 0.3821 0.0000  6 Au 2.90-3.01
Cd3 0.6179 0.6179 0.0000  6 Au 2.90-3.01
Au1 0.2437 0.7437 0.5000  2 Cd 2.90, 4 Pm 3.03
Au2 0.3587 0.0000 0.3587  1 Au 2.74, 2 Pm 2.87, 4 Cd 3.01
Au3 0.6413 0.0000 0.6413  1 Au 2.74, 2 Pm 2.87, 4 Cd 3.01
Au4 0.7563 0.2563 0.5000  2 Cd 2.90, 4 Pm 3.03


# 4
First-principles (PBE) data for a geometry-optimized Pm4CdAu5 structure, as listed in the Alexandria database.

energy of formation from the pure elements: -0.69 eV/atom
volume: 24.2 A^3/atom
calculated density: 11.5 Mg/m³

a = 3.6572 Å, b = 3.6572 Å, c = 18.0793 Å
α = 90.00°, β = 90.00°, γ = 90.00°
Last column: nearest neighbours and their distance in Å.
Fractional positions:
Pm1 0.0000 0.0000 0.1037  8 Au 3.17-3.19
Pm2 0.0000 0.0000 0.3132  8 Au 3.11-3.24, 1 Cd 3.38
Pm3 0.0000 0.0000 0.6868  8 Au 3.11-3.24, 1 Cd 3.38
Pm4 0.0000 0.0000 0.8963  8 Au 3.17-3.19
Cd1 0.0000 0.0000 0.5000  8 Au 3.07, 2 Pm 3.38
Au1 0.5000 0.5000 0.0000  8 Pm 3.19
Au2 0.5000 0.5000 0.2053  8 Pm 3.17-3.24
Au3 0.5000 0.5000 0.4085  4 Cd 3.07, 4 Pm 3.11, 1 Au 3.31
Au4 0.5000 0.5000 0.5915  4 Cd 3.07, 4 Pm 3.11, 1 Au 3.31
Au5 0.5000 0.5000 0.7947  8 Pm 3.17-3.24


# 5
First-principles (PBE) data for a geometry-optimized PmCd2Au2 structure, as listed in the Alexandria database.

energy of formation from the pure elements: -0.45 eV/atom
offset from the most stable computed form: 0.18 eV/f.u.
volume: 24.3 A^3/atom
calculated density: 10.4 Mg/m³

a = 4.9577 Å, b = 4.9247 Å, c = 10.0197 Å
α = 90.00°, β = 95.53°, γ = 90.00°
Last column: nearest neighbours and their distance in Å.
Fractional positions:
Pm1 0.2149 0.2500 0.3190  6 Au 3.00-3.12
Pm2 0.7851 0.7500 0.6810  6 Au 3.00-3.12
Cd1 0.2698 0.2500 0.6759  6 Au 2.93-3.18, 1 Cd 3.12
Cd2 0.2939 0.2500 0.9880  4 Au 2.79-2.96, 1 Cd 3.12
Cd3 0.7061 0.7500 0.0120  4 Au 2.79-2.96, 1 Cd 3.12
Cd4 0.7302 0.7500 0.3241  6 Au 2.93-3.18, 1 Cd 3.12
Au1 0.2267 0.7500 0.1458  5 Cd 2.79-2.96, 2 Pm 3.02
Au2 0.2526 0.7500 0.5117  4 Cd 2.96-3.16, 4 Pm 3.00-3.12
Au3 0.7474 0.2500 0.4883  4 Cd 2.96-3.16, 4 Pm 3.00-3.12
Au4 0.7733 0.2500 0.8542  5 Cd 2.79-2.96, 2 Pm 3.02


# 6
First-principles (PBE) data for a geometry-optimized PmCd2Au2 structure, as listed in the Alexandria database.

energy of formation from the pure elements: -0.49 eV/atom
offset from the most stable computed form: 0.00 eV/f.u.
volume: 23.2 A^3/atom
calculated density: 10.9 Mg/m³

a = 7.3560 Å, b = 7.3560 Å, c = 7.3560 Å
α = 147.24°, β = 147.24°, γ = 47.01°
Last column: nearest neighbours and their distance in Å.
Fractional positions:
Pm1 0.0000 0.0000 0.0000  8 Au 3.23
Cd1 0.2500 0.7500 0.5000  4 Au 2.89, 4 Cd 2.93
Cd2 0.7500 0.2500 0.5000  4 Au 2.89, 4 Cd 2.93
Au1 0.3991 0.3991 0.0000  1 Au 2.72, 4 Cd 2.89
Au2 0.6009 0.6009 0.0000  1 Au 2.72, 4 Cd 2.89


# 7
First-principles (PBE) data for a geometry-optimized PmCd11Au structure, as listed in the Alexandria database.

energy of formation from the pure elements: -0.14 eV/atom
volume: 22.5 A^3/atom
calculated density: 9.0 Mg/m³

a = 7.6473 Å, b = 7.6473 Å, c = 7.6255 Å
α = 98.57°, β = 98.57°, γ = 134.63°
Last column: nearest neighbours and their distance in Å.
Fractional positions:
Pm1 0.0000 0.0000 0.0000  18 Cd 3.49-3.82, 2 Au 3.81
Cd1 0.0000 0.0000 0.5000  8 Cd 2.92-3.06, 2 Au 2.95
Cd2 0.0000 0.5000 0.0000  10 Cd 2.92-3.10
Cd3 0.0089 0.3567 0.3535  8 Cd 2.98-3.31, 1 Au 3.03
Cd4 0.2919 0.5033 0.7855  1 Au 2.89, 7 Cd 2.92-3.19
Cd5 0.3567 0.0089 0.3535  8 Cd 2.98-3.31, 1 Au 3.03
Cd6 0.4967 0.7081 0.2145  1 Au 2.89, 7 Cd 2.92-3.19
Cd7 0.5000 0.0000 0.0000  10 Cd 2.92-3.10
Cd8 0.5033 0.2919 0.7855  1 Au 2.89, 7 Cd 2.92-3.19
Cd9 0.6433 0.9911 0.6465  8 Cd 2.98-3.31, 1 Au 3.03
Cd10 0.7081 0.4967 0.2145  1 Au 2.89, 7 Cd 2.92-3.19
Cd11 0.9911 0.6433 0.6465  8 Cd 2.98-3.31, 1 Au 3.03
Au1 0.5000 0.5000 0.5000  10 Cd 2.89-3.03


# 8
First-principles (PBE) data for a geometry-optimized Pm5CdAu4 structure, as listed in the Alexandria database.

energy of formation from the pure elements: -0.69 eV/atom
volume: 25.7 A^3/atom
calculated density: 10.5 Mg/m³

a = 3.7117 Å, b = 3.7117 Å, c = 18.6654 Å
α = 90.00°, β = 90.00°, γ = 90.00°
Last column: nearest neighbours and their distance in Å.
Fractional positions:
Pm1 0.0000 0.0000 0.0000  8 Au 3.20
Pm2 0.0000 0.0000 0.1969  8 Au 3.21-3.23
Pm3 0.0000 0.0000 0.3923  4 Au 3.16, 4 Cd 3.31
Pm4 0.0000 0.0000 0.6077  4 Au 3.16, 4 Cd 3.31
Pm5 0.0000 0.0000 0.8031  8 Au 3.21-3.23
Cd1 0.5000 0.5000 0.5000  8 Pm 3.31
Au1 0.5000 0.5000 0.0981  8 Pm 3.20-3.21
Au2 0.5000 0.5000 0.2976  8 Pm 3.16-3.23
Au3 0.5000 0.5000 0.7024  8 Pm 3.16-3.23
Au4 0.5000 0.5000 0.9019  8 Pm 3.20-3.21


# 9
First-principles (PBE) data for a geometry-optimized PmCd8Au4 structure, as listed in the Alexandria database.

energy of formation from the pure elements: -0.24 eV/atom
volume: 21.4 A^3/atom
calculated density: 10.9 Mg/m³

a = 7.5668 Å, b = 7.5668 Å, c = 7.5668 Å
α = 98.05°, β = 98.05°, γ = 136.06°
Last column: nearest neighbours and their distance in Å.
Fractional positions:
Pm1 0.0000 0.0000 0.0000  12 Cd 3.44-3.52, 8 Au 3.78
Cd1 0.0000 0.3471 0.3471  4 Au 3.01, 5 Cd 3.03-3.24
Cd2 0.0000 0.6529 0.6529  4 Au 3.01, 5 Cd 3.03-3.24
Cd3 0.2885 0.5000 0.7885  4 Au 2.88, 4 Cd 2.97-3.13
Cd4 0.3471 0.0000 0.3471  4 Au 3.01, 5 Cd 3.03-3.24
Cd5 0.5000 0.2885 0.7885  4 Au 2.88, 4 Cd 2.97-3.13
Cd6 0.5000 0.7115 0.2115  4 Au 2.88, 4 Cd 2.97-3.13
Cd7 0.6529 0.0000 0.6529  4 Au 3.01, 5 Cd 3.03-3.24
Cd8 0.7115 0.5000 0.2115  4 Au 2.88, 4 Cd 2.97-3.13
Au1 0.0000 0.0000 0.5000  2 Au 2.83, 8 Cd 2.88-3.01
Au2 0.0000 0.5000 0.0000  2 Au 2.83, 8 Cd 2.88-3.01
Au3 0.5000 0.0000 0.0000  2 Au 2.83, 8 Cd 2.88-3.01
Au4 0.5000 0.5000 0.5000  2 Au 2.83, 8 Cd 2.88-3.01


# 10
First-principles (PBE) data for a geometry-optimized Pm3Cd2Au2 structure, as listed in the Alexandria database.

energy of formation from the pure elements: -0.44 eV/atom
volume: 29.3 A^3/atom
calculated density: 8.5 Mg/m³

a = 5.1176 Å, b = 5.1176 Å, c = 9.4305 Å
α = 104.93°, β = 104.93°, γ = 60.55°
Last column: nearest neighbours and their distance in Å.
Fractional positions:
Pm1 0.0000 0.0000 0.0000  2 Au 2.91
Pm2 0.2184 0.2184 0.6543  4 Au 2.96-2.98
Pm3 0.7816 0.7816 0.3457  4 Au 2.96-2.98
Cd1 0.3912 0.3912 0.1699  3 Au 3.24-3.28, 6 Pm 3.33-3.36
Cd2 0.6088 0.6088 0.8301  3 Au 3.24-3.28, 6 Pm 3.33-3.36
Au1 0.1089 0.1089 0.3232  5 Pm 2.91-2.98, 1 Cd 3.24
Au2 0.8911 0.8911 0.6768  5 Pm 2.91-2.98, 1 Cd 3.24


# 11
First-principles (PBE) data for a geometry-optimized PmCd2Au8 structure, as listed in the Alexandria database.

energy of formation from the pure elements: -0.30 eV/atom
offset from the most stable computed form: 0.00 eV/f.u.
volume: 20.3 A^3/atom
calculated density: 14.5 Mg/m³

a = 7.1182 Å, b = 7.1182 Å, c = 8.2370 Å
α = 121.21°, β = 121.21°, γ = 39.80°
Last column: nearest neighbours and their distance in Å.
Fractional positions:
Pm1 0.0000 0.0000 0.0000  12 Au 3.00-3.32
Cd1 0.3165 0.3165 0.2889  9 Au 2.85-3.08
Cd2 0.6835 0.6835 0.7111  9 Au 2.85-3.08
Au1 0.0711 0.0711 0.7122  6 Au 2.82-3.02, 2 Cd 2.85, 1 Pm 3.00
Au2 0.1847 0.1847 0.4809  8 Au 2.87-3.15, 3 Cd 2.95-3.08
Au3 0.3235 0.3235 0.9376  3 Au 2.80-3.04, 3 Cd 2.95-3.00
Au4 0.4473 0.4473 0.7198  7 Au 2.80-3.04, 1 Cd 2.97
Au5 0.5527 0.5527 0.2802  7 Au 2.80-3.04, 1 Cd 2.97
Au6 0.6765 0.6765 0.0624  3 Au 2.80-3.04, 3 Cd 2.95-3.00
Au7 0.8153 0.8153 0.5191  8 Au 2.87-3.15, 3 Cd 2.95-3.08
Au8 0.9289 0.9289 0.2878  6 Au 2.82-3.02, 2 Cd 2.85, 1 Pm 3.00


Number 1: size of the total moment 0.000 μB per atom. Number 2: size of the total moment 0.000 μB per atom. Number 3: size of the total moment 0.000 μB per atom. Number 4: size of the total moment 0.000 μB per atom. Number 5: size of the total moment 0.000 μB per atom. Number 6: size of the total moment 0.000 μB per atom. Number 7: size of the total moment 0.000 μB per atom. Number 8: size of the total moment 0.000 μB per atom. Number 9: size of the total moment 0.000 μB per atom. Number 10: size of the total moment 0.000 μB per atom. Number 11: size of the total moment 0.000 μB per atom.